Material: ZnSi2Sn
Method: DFT, PBE
State: relaxed

Structure (POSCAR):
```
ZnSi2Sn
1.0
-4.023 1.993 1.576
-1.396 4.215 -1.711
-3.798 0.270 -2.854
Zn Sn Si
1 1 2
Cartesian
0.000 0.000 0.000
-4.608 3.239 -1.494
-2.304 1.620 -0.747
-6.913 4.859 -2.241
```

Calculated values
Formation energy without anion corrections (eV per atom): 0.512
Calculated density (g/cm3): 5.237
Total energy (eV per cell): -14.07
Symmetry: No. 225
Energy above the lowest structure with this stoichiometry (eV/atom): 0.096